Record 1
{
  "formula": "DyMgPd",
  "functional": "PBEsol",
  "state": "relaxed",
  "lattice": [[-2.082, -3.291, 0.985], [5.297, -4.210, -2.865], [0.277, 1.944, 7.081]],
  "species": ["Mg", "Mg", "Mg", "Dy", "Dy", "Dy", "Pd", "Pd", "Pd"],
  "fractional_positions": [[0.000, 0.245, 0.245], [0.000, 0.000, 0.755], [0.000, 0.755, 0.000], [0.500, 0.000, 0.412], [0.500, 0.588, 0.588], [0.500, 0.412, 0.000], [0.500, 0.000, 0.000], [0.000, 0.667, 0.333], [0.000, 0.333, 0.667]],
  "dos_ef_per_ev_cell": 6.63,
  "total_magnetization_mub_per_fu": 0.000,
  "density_g_cm3": 7.78,
  "ef_ev_per_atom": -0.664
}

---

Record 2
{
  "formula": "TaBe2W",
  "functional": "PBEsol",
  "state": "relaxed",
  "lattice": [[-1.510, 1.783, -1.117], [-3.253, -0.946, 2.887], [3.318, 2.440, 2.409]],
  "species": ["Be", "Be", "Ta", "W"],
  "fractional_positions": [[0.719, 0.269, 0.437], [0.030, 0.976, 0.061], [0.479, 0.451, 0.958], [0.272, 0.803, 0.545]],
  "dos_ef_per_ev_cell": 1.80,
  "total_magnetization_mub_per_fu": 0.000,
  "density_g_cm3": 12.59,
  "ef_ev_per_atom": 0.132
}

---

Record 3
{
  "formula": "CoHg2Os",
  "functional": "PBEsol",
  "state": "relaxed",
  "lattice": [[4.485, 0.000, 0.000], [2.243, 3.884, 0.000], [2.243, 1.295, 3.662]],
  "species": ["Os", "Hg", "Hg", "Co"],
  "fractional_positions": [[0.500, 0.500, 0.500], [0.250, 0.250, 0.250], [0.750, 0.750, 0.750], [0.000, 0.000, 0.000]],
  "dos_ef_per_ev_cell": 4.58,
  "total_magnetization_mub_per_fu": 2.196,
  "density_g_cm3": 16.93,
  "ef_ev_per_atom": 0.860
}

---

Record 4
{
  "formula": "Sr2IrAu",
  "functional": "PBEsol",
  "state": "relaxed",
  "lattice": [[-1.572, -3.533, -2.185], [2.625, -3.508, -0.732], [-1.915, -5.419, 5.627]],
  "species": ["Ir", "Sr", "Sr", "Au"],
  "fractional_positions": [[0.208, 0.208, 0.376], [0.960, 0.960, 0.121], [0.790, 0.790, 0.629], [0.542, 0.542, 0.375]],
  "dos_ef_per_ev_cell": 2.36,
  "total_magnetization_mub_per_fu": 0.000,
  "density_g_cm3": 7.20,
  "ef_ev_per_atom": -0.258
}